This record from Alexandria describes CeIn4Pd at its PBEsol-relaxed geometry. The functional is SCAN.

## Properties
volume: 272.0 Å³ per cell
ΔE_f: -564 meV per atom

POSCAR file:
```
CeIn4Pd
1.0
4.510 0.000 0.000
0.000 7.163 0.000
-2.255 0.000 8.421
In Pd Ce
8 2 2
direct
0.318 0.954 0.635 In
0.067 0.250 0.135 In
0.933 0.750 0.865 In
0.682 0.454 0.365 In
0.682 0.046 0.365 In
0.500 0.500 0.000 In
0.318 0.546 0.635 In
0.500 0.000 0.000 In
0.777 0.750 0.554 Pd
0.223 0.250 0.446 Pd
0.119 0.750 0.237 Ce
0.881 0.250 0.763 Ce
```

This record from Alexandria describes CsNa2Cd2 at its PBEsol-relaxed geometry. The functional is SCAN.

## Properties
volume: 183.6 Å³ per cell
ΔE_f: -36 meV per atom
offset from the most stable computed form: 0 meV per atom

POSCAR file:
```
CsNa2Cd2
1.0
5.157 0.000 0.000
0.000 5.157 0.000
-2.579 -2.579 6.904
Cs Cd Na
1 2 2
direct
0.000 0.000 0.000 Cs
0.605 0.605 0.210 Cd
0.395 0.395 0.790 Cd
0.750 0.250 0.500 Na
0.250 0.750 0.500 Na
```

This record from Alexandria describes InCS2 at its PBEsol-relaxed geometry. The functional is SCAN.

## Properties
volume: 146.2 Å³ per cell
ΔE_f (raw): 0.824 eV per atom

POSCAR file:
```
InCS2
1.0
-4.179 3.777 1.401
-1.441 -3.947 -4.005
1.572 -3.664 4.219
In S C
2 4 2
direct
0.000 0.000 0.000 In
0.500 0.750 0.250 In
0.351 0.476 0.625 S
0.149 0.875 0.524 S
0.851 0.375 0.726 S
0.649 0.274 0.125 S
0.000 0.500 0.500 C
0.500 0.250 0.750 C
```

This record from Alexandria describes BeHgRh2 at its PBEsol-relaxed geometry. The functional is SCAN.

## Properties
volume: 55.5 Å³ per cell
ΔE_f: -25 meV per atom
offset from the most stable computed form: 195 meV per atom

POSCAR file:
```
BeHgRh2
1.0
2.928 0.001 -0.001
1.465 4.521 -0.021
1.463 1.742 4.188
Rh Be Hg
2 1 1
direct
0.814 0.772 0.600 Rh
0.019 0.003 0.960 Rh
0.469 0.371 0.692 Be
0.198 0.354 0.249 Hg
```

This record from Alexandria describes PbBr2 at its PBEsol-relaxed geometry. The functional is SCAN.

## Properties
volume: 201.7 Å³ per cell
ΔE_f (raw): -0.917 eV per atom

POSCAR file:
```
PbBr2
1.0
-2.025 3.563 -0.004
-4.384 -4.846 2.722
4.058 2.314 5.884
Br Pb
4 2
direct
0.766 0.533 0.793 Br
0.234 0.467 0.207 Br
0.500 0.000 0.000 Br
0.500 0.000 0.500 Br
0.891 0.782 0.194 Pb
0.109 0.218 0.806 Pb
```

This record from Alexandria describes NaPmHg2 at its PBEsol-relaxed geometry. The functional is SCAN.

## Properties
volume: 96.5 Å³ per cell
ΔE_f: -546 meV per atom

POSCAR file:
```
NaPmHg2
1.0
-0.222 -5.090 0.745
4.198 -2.564 1.520
0.258 -1.917 4.771
Pm Na Hg
1 1 2
direct
0.000 0.000 0.000 Pm
0.500 0.500 0.500 Na
0.750 0.750 0.750 Hg
0.250 0.250 0.250 Hg
```

This record from Alexandria describes NaY2B at its PBEsol-relaxed geometry. The functional is SCAN.

## Properties
volume: 203.8 Å³ per cell
ΔE_f: 348 meV per atom

POSCAR file:
```
NaY2B
1.0
-1.291 -4.844 -4.043
6.149 0.527 1.839
-3.417 -1.118 5.343
Na B Y
2 2 4
direct
0.000 0.000 0.000 Na
0.250 0.750 0.500 Na
0.500 0.500 0.000 B
0.750 0.250 0.500 B
0.790 0.875 0.415 Y
0.625 0.210 0.085 Y
0.125 0.540 0.915 Y
0.460 0.375 0.585 Y
```

This record from Alexandria describes SrMgCuP2O8 at its PBEsol-relaxed geometry. The functional is SCAN.

## Properties
volume: 299.5 Å³ per cell
ΔE_f (raw): -2.632 eV per atom

POSCAR file:
```
SrMgCuP2O8
1.0
5.609 0.005 0.035
-1.089 6.493 -0.014
-1.892 -3.324 8.214
O P Cu Sr Mg
16 4 2 2 2
direct
0.380 0.069 0.646 O
0.051 0.897 0.325 O
0.959 0.278 0.405 O
0.845 0.557 0.874 O
0.655 0.807 0.749 O
0.949 0.103 0.675 O
0.345 0.193 0.251 O
0.155 0.443 0.126 O
0.363 0.522 0.801 O
0.637 0.478 0.199 O
0.620 0.931 0.354 O
0.254 0.014 0.882 O
0.383 0.598 0.409 O
0.041 0.722 0.595 O
0.617 0.402 0.591 O
0.746 0.986 0.118 O
0.843 0.028 0.298 P
0.157 0.972 0.702 P
0.389 0.426 0.243 P
0.611 0.574 0.757 P
0.643 0.856 0.545 Cu
0.357 0.144 0.455 Cu
0.733 0.201 0.937 Sr
0.267 0.799 0.063 Sr
0.001 0.419 0.651 Mg
0.999 0.581 0.349 Mg
```

This record from Alexandria describes CsSr2Ca at its PBEsol-relaxed geometry. The functional is SCAN.

## Properties
volume: 218.8 Å³ per cell
ΔE_f: 200 meV per atom

POSCAR file:
```
CsSr2Ca
1.0
-1.518 3.741 5.426
3.848 -0.374 5.550
3.953 5.208 1.731
Ca Cs Sr
1 1 2
direct
0.000 0.000 0.000 Ca
0.500 0.500 0.500 Cs
0.750 0.750 0.750 Sr
0.250 0.250 0.250 Sr
```

This record from Alexandria describes CoIr3Pb at its PBEsol-relaxed geometry. The functional is SCAN.

## Properties
volume: 89.9 Å³ per cell
ΔE_f: 1309 meV per atom
offset from the most stable computed form: 0 meV per atom

POSCAR file:
```
CoIr3Pb
1.0
-1.369 -0.210 -4.260
4.265 -0.088 -1.366
-0.020 -4.473 0.227
Ir Pb Co
3 1 1
direct
0.500 0.000 0.000 Ir
0.000 0.000 0.500 Ir
0.000 0.500 0.000 Ir
0.500 0.500 0.500 Pb
0.000 0.000 0.000 Co
```

This record from Alexandria describes NaLa3Ga at its PBEsol-relaxed geometry. The functional is SCAN.

## Properties
volume: 170.0 Å³ per cell
ΔE_f: 729 meV per atom

POSCAR file:
```
NaLa3Ga
1.0
5.539 0.000 0.000
0.000 5.539 0.000
0.000 0.000 5.539
La Ga Na
3 1 1
direct
0.000 0.500 0.000 La
0.000 0.000 0.500 La
0.500 0.000 0.000 La
0.500 0.500 0.500 Ga
0.000 0.000 0.000 Na
```

This record from Alexandria describes LiSbPb2 at its PBEsol-relaxed geometry. The functional is SCAN.

## Properties
volume: 106.3 Å³ per cell
ΔE_f (raw): -0.168 eV per atom

POSCAR file:
```
LiSbPb2
1.0
3.346 0.000 0.034
0.000 4.438 0.000
-0.790 0.000 7.148
Sb Pb Li
1 2 1
direct
0.934 0.000 0.553 Sb
0.600 0.500 0.252 Pb
0.001 0.000 0.981 Pb
0.465 0.500 0.714 Li
```

This record from Alexandria describes AlCr at its PBEsol-relaxed geometry. The functional is SCAN.

## Properties
volume: 77.5 Å³ per cell
ΔE_f: -166 meV per atom

POSCAR file:
```
AlCr
1.0
2.975 0.000 0.000
-1.487 4.561 0.000
0.000 -2.019 5.712
Al Cr
3 3
direct
0.639 0.277 0.294 Al
0.650 0.300 0.768 Al
0.967 0.934 0.941 Al
0.311 0.623 0.131 Cr
0.320 0.640 0.600 Cr
0.947 0.893 0.432 Cr
```

This record from Alexandria describes MgAlCu2 at its PBEsol-relaxed geometry. The functional is SCAN.

## Properties
volume: 55.3 Å³ per cell
ΔE_f: -184 meV per atom

POSCAR file:
```
MgAlCu2
1.0
-1.080 -1.017 2.626
0.240 -3.996 -1.449
4.453 1.875 0.826
Cu Mg Al
2 1 1
direct
0.007 0.979 0.014 Cu
0.734 0.259 0.468 Cu
0.491 0.472 0.983 Mg
0.268 0.790 0.536 Al
```

This record from Alexandria describes Li2InPb at its PBEsol-relaxed geometry. The functional is SCAN.

## Properties
volume: 86.1 Å³ per cell
ΔE_f: -280 meV per atom
offset from the most stable computed form: 107 meV per atom

POSCAR file:
```
Li2InPb
1.0
-0.334 2.664 2.654
-0.478 -2.673 2.623
5.970 -0.167 0.918
In Pb Li
1 1 2
direct
0.500 0.500 0.773 In
0.000 0.000 0.484 Pb
0.500 0.500 0.252 Li
0.000 0.000 0.991 Li
```

This record from Alexandria describes TlTc2Au at its PBEsol-relaxed geometry. The functional is SCAN.

## Properties
volume: 65.6 Å³ per cell
ΔE_f: 726 meV per atom
offset from the most stable computed form: 472 meV per atom

POSCAR file:
```
TlTc2Au
1.0
-1.479 -0.472 -2.432
1.279 -2.571 -0.278
-5.797 -3.336 4.173
Tc Tl Au
2 1 1
direct
0.000 0.000 0.734 Tc
0.000 0.000 0.266 Tc
0.500 0.500 0.000 Tl
0.500 0.500 0.500 Au
```

This record from Alexandria describes NbSb2Ir at its PBEsol-relaxed geometry. The functional is SCAN.

## Properties
volume: 165.6 Å³ per cell
ΔE_f (raw): 0.380 eV per atom
offset from the most stable computed form: 288 meV per atom

POSCAR file:
```
NbSb2Ir
1.0
7.426 0.000 0.000
-3.713 4.465 1.692
0.000 3.744 6.413
Sb Ir Nb
4 2 2
direct
0.093 0.750 0.875 Sb
0.657 0.750 0.375 Sb
0.375 0.250 0.093 Sb
0.875 0.250 0.657 Sb
0.750 0.500 0.750 Ir
0.000 0.000 0.000 Ir
0.500 0.000 0.500 Nb
0.250 0.500 0.250 Nb
```

This record from Alexandria describes TaZn2Si at its PBEsol-relaxed geometry. The functional is SCAN.

## Properties
volume: 59.4 Å³ per cell
ΔE_f (raw): 0.361 eV per atom

POSCAR file:
```
TaZn2Si
1.0
-3.315 -2.708 -0.927
0.736 -4.296 -0.429
-1.467 -2.788 3.043
Si Ta Zn
1 1 2
direct
0.500 0.500 0.500 Si
0.750 0.750 0.750 Ta
0.000 0.000 0.000 Zn
0.250 0.250 0.250 Zn
```

This record from Alexandria describes HgSb2Br at its PBEsol-relaxed geometry. The functional is SCAN.

## Properties
volume: 115.5 Å³ per cell
ΔE_f (raw): -0.129 eV per atom

POSCAR file:
```
HgSb2Br
1.0
4.142 0.000 0.000
2.071 3.587 0.000
2.071 1.196 7.776
Sb Br Hg
2 1 1
direct
0.739 0.739 0.783 Sb
0.002 0.002 0.994 Sb
0.508 0.508 0.476 Br
0.251 0.251 0.247 Hg
```

This record from Alexandria describes LaHg5 at its PBEsol-relaxed geometry. The functional is SCAN.

## Properties
volume: 145.0 Å³ per cell
ΔE_f: -388 meV per atom

POSCAR file:
```
LaHg5
1.0
-2.574 -3.898 0.754
3.494 -2.689 -1.972
3.984 1.271 5.324
Hg La
5 1
direct
0.330 0.000 0.660 Hg
0.826 0.500 0.652 Hg
0.174 0.500 0.348 Hg
0.000 0.000 0.000 Hg
0.670 0.000 0.340 Hg
0.500 0.500 0.000 La
```